Compound: FeAsRh
Source: Alexandria via LeMat-Bulk
Functional: PBE-GGA
Structure: relaxed

Unit cell a=4.404 b=4.133 c=5.072 alpha=90.00 beta=112.79 gamma=90.00
Fractional positions:
Fe 0.145 0.250 0.471
Fe 0.855 0.750 0.529
As 0.435 0.750 0.755
As 0.565 0.250 0.245
Rh 0.210 0.750 0.146
Rh 0.790 0.250 0.854

Properties
The calculation puts the total energy at -6.9539 eV per atom. As for the density of states at the Fermi level: 4.66 states/eV per cell. The symmetry is No. 11. The total magnetization is 2.485 μB/f.u.